First-principles (PBE) data for a geometry-optimized Tl2GeSe2 structure, as listed in Alexandria.

## Properties
Polymorph energy (0 for the lowest one) (meV/atom): 0
Formation energy (no corrections) (eV per atom): -0.296
V (Å³/cell): 615.21
Total magnetization (μB per cell): 0.0

Geometry as CIF:
```
data_Tl2GeSe2
_chemical_formula_sum 'Tl8 Ge4 Se8'
_cell_length_a 18.644
_cell_length_b 4.042
_cell_length_c 8.173
_cell_angle_alpha 90.00
_cell_angle_beta 92.58
_cell_angle_gamma 90.00
_space_group_name_H-M_alt 'C 1 2/m 1'
_space_group_IT_number 12
_space_group_name_Hall '-C 2y'
loop_
_atom_site_label
_atom_site_type_symbol
_atom_site_fract_x
_atom_site_fract_y
_atom_site_fract_z
Tl1 Tl 0.031 0.000 0.275
Tl2 Tl 0.139 0.500 0.911
Ge1 Ge 0.215 0.500 0.401
Se1 Se 0.095 0.500 0.514
Se2 Se 0.204 0.000 0.185
```